Below is an optimized crystal structure of MgSc2Hg, with properties calculated at the PBE-GGA level.

a = 10.1975 Å, b = 3.3410 Å, c = 5.5726 Å
α = 90.00°, β = 101.93°, γ = 90.00°
Closest atoms and distances in Å follow each position.
Space group C2/m (No. 12)
Symmetry-distinct sites (fractional):
Mg1 0.0000 0.0000 0.0000 x2  6 Sc 3.10-3.19, 4 Hg 3.25, 2 Mg 3.34
Sc1 0.2428 0.0000 0.7447 x4  3 Hg 3.06-3.20, 3 Mg 3.10-3.19, 6 Sc 3.23-3.34
Hg1 0.0000 0.5000 0.5000 x2  6 Sc 3.06-3.20, 4 Mg 3.25, 2 Hg 3.34

## Properties
E_form (eV per atom): -0.133
Density of states at the Fermi level (states/eV per cell): 8.6
Final energy (eV per atom): -3.77

Below is an optimized crystal structure of MgSc5Hg3, with properties calculated at the PBE-GGA level.

a = 8.5928 Å, b = 8.5928 Å, c = 6.2371 Å
α = 90.00°, β = 90.00°, γ = 120.00°
Closest atoms and distances in Å follow each position.
Space group P6_3/mcm (No. 193)
Symmetry-distinct sites (fractional):
Mg1 0.0000 0.0000 0.0000 x2  2 Mg 3.12, 6 Sc 3.16, 6 Hg 3.38
Sc1 0.0000 0.3195 0.2500 x6  5 Hg 2.85-3.13, 2 Mg 3.16
Sc2 0.3333 0.6667 0.0000 x4  8 Sc 3.12-3.32, 6 Hg 3.20
Hg1 0.0000 0.3489 0.7500 x6  5 Sc 2.85-3.13

## Properties
E_form (eV per atom): -0.331
Density of states at the Fermi level (states/eV per cell): 21.0
Final energy (eV per atom): -4.13

Below is an optimized crystal structure of MgSc2Hg, with properties calculated at the PBE-GGA level.

a = 7.0687 Å, b = 7.0687 Å, c = 7.0687 Å
α = 90.00°, β = 90.00°, γ = 90.00°
Closest atoms and distances in Å follow each position.
Space group Fm-3m (No. 225)
Symmetry-distinct sites (fractional):
Mg1 0.0000 0.0000 0.0000 x4  8 Sc 3.06
Sc1 0.2500 0.2500 0.2500 x8  4 Hg 3.06, 4 Mg 3.06
Hg1 0.0000 0.0000 0.5000 x4  8 Sc 3.06

## Properties
E_form (eV per atom): -0.240
Density of states at the Fermi level (states/eV per cell): 15.3
Final energy (eV per atom): -3.88

Below is an optimized crystal structure of MgSc2Hg, with properties calculated at the PBE-GGA level.

a = 8.0437 Å, b = 8.0437 Å, c = 6.1374 Å
α = 90.00°, β = 90.00°, γ = 90.00°
Closest atoms and distances in Å follow each position.
Space group I-42d (No. 122)
Symmetry-distinct sites (fractional):
Mg1 0.0000 0.0000 0.0000 x4  2 Hg 3.07, 4 Sc 3.11
Sc1 0.2202 0.7500 0.6250 x8  2 Hg 2.79, 2 Sc 3.11, 2 Mg 3.11
Hg1 0.0000 0.0000 0.5000 x4  4 Sc 2.79, 2 Mg 3.07

## Properties
E_form (eV per atom): 0.123
Density of states at the Fermi level (states/eV per cell): 24.0
Final energy (eV per atom): -3.52

Below is an optimized crystal structure of MgSc3Hg, with properties calculated at the PBE-GGA level.

a = 5.3299 Å, b = 5.3299 Å, c = 5.3299 Å
α = 90.00°, β = 90.00°, γ = 90.00°
Closest atoms and distances in Å follow each position.
Space group Pm-3m (No. 221)
Symmetry-distinct sites (fractional):
Mg1 0.0000 0.0000 0.0000 x1  12 Sc 3.77
Sc1 0.0000 0.5000 0.5000 x3  2 Hg 2.66
Hg1 0.5000 0.5000 0.5000 x1  6 Sc 2.66

## Properties
Energy above the most stable polymorph in this dataset (eV/f.u.): 2.82
E_form (eV per atom): 0.370
Density of states at the Fermi level (states/eV per cell): 10.5
Final energy (eV per atom): -3.81

Below is an optimized crystal structure of Mg2ScHg2, with properties calculated at the PBE-GGA level.

a = 4.1464 Å, b = 4.1464 Å, c = 13.1641 Å
α = 90.00°, β = 90.00°, γ = 90.00°
Closest atoms and distances in Å follow each position.
Space group I4/mmm (No. 139)
Symmetry-distinct sites (fractional):
Mg1 0.0000 0.5000 0.2500 x4  4 Hg 2.82, 4 Mg 2.93
Sc1 0.0000 0.0000 0.0000 x2  8 Hg 3.24
Hg1 0.0000 0.0000 0.3947 x4  1 Hg 2.77, 4 Mg 2.82

## Properties
Energy above the most stable polymorph in this dataset (eV/f.u.): 0.25
E_form (eV per atom): -0.150
Density of states at the Fermi level (states/eV per cell): 5.7
Final energy (eV per atom): -2.18

Below is an optimized crystal structure of MgSc3Hg2, with properties calculated at the PBE-GGA level.

a = 4.9795 Å, b = 4.9795 Å, c = 12.2903 Å
α = 90.00°, β = 90.00°, γ = 120.00°
Closest atoms and distances in Å follow each position.
Space group P-3m1 (No. 164)
Symmetry-distinct sites (fractional):
Mg1 0.3333 0.6667 0.1710 x2  8 Sc 3.06-3.09, 3 Hg 3.38
Sc1 0.0000 0.0000 0.2559 x2  5 Hg 2.97-3.15, 3 Mg 3.06
Sc2 0.3333 0.6667 0.4224 x2  7 Hg 3.03-3.22, 1 Mg 3.09
Sc3 0.3333 0.6667 0.9213 x2  4 Hg 2.91-3.03, 4 Mg 3.07-3.09
Hg1 0.0000 0.0000 0.0000 x1  8 Sc 3.03-3.15
Hg2 0.0000 0.0000 0.5000 x1  8 Sc 3.00-3.03
Hg3 0.3333 0.6667 0.6844 x2  8 Sc 2.91-3.22

## Properties
Energy above the most stable polymorph in this dataset (eV/f.u.): 0.00
E_form (eV per atom): -0.316
Density of states at the Fermi level (states/eV per cell): 11.8
Final energy (eV per atom): -3.85

Below is an optimized crystal structure of MgSc5Hg4, with properties calculated at the PBE-GGA level.

a = 3.5526 Å, b = 3.5526 Å, c = 17.4338 Å
α = 90.00°, β = 90.00°, γ = 90.00°
Closest atoms and distances in Å follow each position.
Space group P4/mmm (No. 123)
Symmetry-distinct sites (fractional):
Mg1 0.0000 0.0000 0.0000 x1  8 Sc 3.08, 2 Hg 3.44
Sc1 0.5000 0.5000 0.1025 x2  4 Hg 3.01, 4 Mg 3.08
Sc2 0.5000 0.5000 0.3011 x2  8 Hg 3.06-3.10
Sc3 0.5000 0.5000 0.5000 x1  8 Hg 3.05
Hg1 0.0000 0.0000 0.1973 x2  8 Sc 3.01-3.10
Hg2 0.0000 0.0000 0.4008 x2  8 Sc 3.05-3.06

## Properties
E_form (eV per atom): -0.355
Density of states at the Fermi level (states/eV per cell): 10.7
Final energy (eV per atom): -3.80

Below is an optimized crystal structure of MgSc2Hg, with properties calculated at the PBE-GGA level.

a = 5.2862 Å, b = 3.3180 Å, c = 5.6529 Å
α = 90.00°, β = 110.55°, γ = 90.00°
Closest atoms and distances in Å follow each position.
Space group P2/m (No. 10)
Symmetry-distinct sites (fractional):
Mg1 0.0000 0.0000 0.0000 x1  6 Sc 3.12, 4 Hg 3.28, 2 Mg 3.32
Sc1 0.5000 0.0000 0.5000 x1  2 Mg 3.12, 4 Hg 3.12, 6 Sc 3.28-3.32
Sc2 0.5000 0.5000 0.0000 x1  2 Hg 3.12, 4 Mg 3.12, 6 Sc 3.28-3.32
Hg1 0.0000 0.5000 0.5000 x1  6 Sc 3.12, 4 Mg 3.28, 2 Hg 3.32

## Properties
E_form (eV per atom): -0.133
Density of states at the Fermi level (states/eV per cell): 3.8
Final energy (eV per atom): -3.77

Below is an optimized crystal structure of MgSc2Hg, with properties calculated at the PBE-GGA level.

a = 7.0668 Å, b = 7.0668 Å, c = 7.0668 Å
α = 90.00°, β = 90.00°, γ = 90.00°
Closest atoms and distances in Å follow each position.
Space group F-43m (No. 216)
Symmetry-distinct sites (fractional):
Mg1 0.0000 0.0000 0.0000 x4  4 Sc 3.06, 4 Hg 3.06
Sc1 0.0000 0.0000 0.5000 x4  4 Hg 3.06, 4 Sc 3.06
Sc2 0.2500 0.2500 0.7500 x4  4 Mg 3.06, 4 Sc 3.06
Hg1 0.2500 0.2500 0.2500 x4  4 Mg 3.06, 4 Sc 3.06

## Properties
E_form (eV per atom): -0.045
Density of states at the Fermi level (states/eV per cell): 23.9
Final energy (eV per atom): -3.68

Below is an optimized crystal structure of MgSc2Hg4, with properties calculated at the PBE-GGA level.

a = 5.1947 Å, b = 5.1947 Å, c = 14.5346 Å
α = 90.00°, β = 90.00°, γ = 90.00°
Closest atoms and distances in Å follow each position.
Space group I4/mmm (No. 139)
Symmetry-distinct sites (fractional):
Mg1 0.0000 0.0000 0.0000 x2  6 Hg 2.60-2.87
Sc1 0.0000 0.0000 0.3952 x4  5 Hg 2.87-3.01, 1 Sc 3.05
Hg1 0.0000 0.0000 0.1978 x4  1 Sc 2.87, 1 Mg 2.87
Hg2 0.0000 0.5000 0.0000 x4  2 Mg 2.60

## Properties
Energy above the most stable polymorph in this dataset (eV/f.u.): 2.29
E_form (eV per atom): 0.072
Density of states at the Fermi level (states/eV per cell): 10.5
Final energy (eV per atom): -2.14

Below is an optimized crystal structure of Mg4ScHg, with properties calculated at the PBE-GGA level.

a = 8.2365 Å, b = 8.2365 Å, c = 8.2365 Å
α = 90.00°, β = 90.00°, γ = 90.00°
Closest atoms and distances in Å follow each position.
Space group F-43m (No. 216)
Symmetry-distinct sites (fractional):
Mg1 0.1245 0.1245 0.1245 x16  6 Mg 2.90-2.92
Sc1 0.2500 0.2500 0.7500 x4  12 Mg 3.41, 4 Hg 3.57
Hg1 0.0000 0.0000 0.5000 x4  12 Mg 3.42, 4 Sc 3.57

## Properties
E_form (eV per atom): 0.071
Density of states at the Fermi level (states/eV per cell): 12.1
Final energy (eV per atom): -2.10